The following is a DFT calculation (PBE) of crystalline Ca2CdPbN at its relaxed geometry.

Lattice parameters (Å, degrees): 4.8843 4.8843 4.7519 90.00 90.00 90.00
Positions (direct):
Ca (0.0000, 0.5000, 0.0000)
Ca (0.5000, 0.0000, 0.0000)
Cd (0.0000, 0.0000, 0.5000)
Pb (0.5000, 0.5000, 0.5000)
N (0.0000, 0.0000, 0.0000)

## Properties
Size of the total moment: 0.0 Bohr magnetons per cell
Space group: P4/mmm, No. 123
ΔE_f (raw): -0.45 eV/atom
Calculated total energy: -19.20 eV for the cell shown

=====

The following is a DFT calculation (PBE) of crystalline Ca12CdPb4N3 at its relaxed geometry.

Lattice parameters (Å, degrees): 8.8858 8.8858 8.8858 109.47 109.47 109.47
Positions (direct):
Ca (0.0000, 0.2836, 0.2836)
Ca (0.0000, 0.7164, 0.7164)
Ca (0.2500, 0.5000, 0.7500)
Ca (0.2500, 0.7500, 0.5000)
Ca (0.2836, 0.0000, 0.2836)
Ca (0.2836, 0.2836, 0.0000)
Ca (0.5000, 0.2500, 0.7500)
Ca (0.5000, 0.7500, 0.2500)
Ca (0.7164, 0.0000, 0.7164)
Ca (0.7164, 0.7164, 0.0000)
Ca (0.7500, 0.2500, 0.5000)
Ca (0.7500, 0.5000, 0.2500)
Cd (0.0000, 0.0000, 0.0000)
Pb (0.0000, 0.0000, 0.5000)
Pb (0.0000, 0.5000, 0.0000)
Pb (0.5000, 0.0000, 0.0000)
Pb (0.5000, 0.5000, 0.5000)
N (0.0000, 0.5000, 0.5000)
N (0.5000, 0.0000, 0.5000)
N (0.5000, 0.5000, 0.0000)

## Properties
Size of the total moment: 0.0 Bohr magnetons per cell
Space group: Im-3m, No. 229
ΔE_f (raw): -0.64 eV/atom
Calculated total energy: -77.47 eV for the cell shown

=====

The following is a DFT calculation (PBE) of crystalline Ca2PrCdN at its relaxed geometry.

Lattice parameters (Å, degrees): 5.0147 5.0147 5.0004 90.00 90.00 90.00
Positions (direct):
Ca (0.0000, 0.5000, 0.0000)
Ca (0.5000, 0.0000, 0.0000)
Pr (0.0000, 0.0000, 0.5000)
Cd (0.5000, 0.5000, 0.5000)
N (0.0000, 0.0000, 0.0000)

## Properties
Size of the total moment: 0.0 Bohr magnetons per cell
Space group: P4/mmm, No. 123
ΔE_f (raw): -0.59 eV/atom
Calculated total energy: -20.99 eV for the cell shown